Run one
First-principles (GGA-PBE) data for a relaxed BaI2N2 crystal, as listed in the Alexandria database.

a = 6.818 Å, b = 6.818 Å, c = 5.624 Å
α = 90.00°, β = 90.00°, γ = 90.00°
Positions (direct):
Ba (0.000, 0.000, 0.000)
I (0.000, 0.500, 0.000)
I (0.500, 0.000, 0.000)
N (0.000, 0.000, 0.500)
N (0.500, 0.500, 0.500)

## Properties
The calculation puts the volume at 261 Å³/cell. The space group is P4/mmm (123).

***

Run two
First-principles (GGA-PBE) data for a relaxed BaI2N2 crystal, as listed in the Alexandria database.

a = 4.895 Å, b = 4.895 Å, c = 5.162 Å
α = 90.00°, β = 90.00°, γ = 90.00°
Positions (direct):
Ba (0.000, 0.000, 0.000)
I (0.000, 0.500, 0.500)
I (0.500, 0.000, 0.500)
N (0.500, 0.500, 0.000)
N (0.500, 0.500, 0.500)

## Properties
The calculation puts the volume at 124 Å³/cell. The space group is P4/mmm (123).

***

Run three
First-principles (GGA-PBE) data for a relaxed BaI2N2 crystal, as listed in the Alexandria database.

a = 5.247 Å, b = 5.247 Å, c = 7.277 Å
α = 90.00°, β = 90.00°, γ = 90.00°
Positions (direct):
Ba (0.000, 0.000, 0.000)
I (0.000, 0.000, 0.500)
I (0.500, 0.500, 0.500)
N (0.000, 0.500, 0.000)
N (0.500, 0.000, 0.000)

## Properties
The calculation puts the volume at 200 Å³/cell. The space group is P4/mmm (123).

***

Run four
First-principles (GGA-PBE) data for a relaxed BaI2N2 crystal, as listed in the Alexandria database.

a = 9.542 Å, b = 5.515 Å, c = 7.808 Å
α = 90.00°, β = 90.09°, γ = 90.00°
Positions (direct):
Ba (0.000, 0.000, 0.000)
Ba (0.500, 0.500, 0.000)
I (0.167, 0.500, 0.196)
I (0.333, 0.000, 0.804)
I (0.667, 0.000, 0.196)
I (0.833, 0.500, 0.804)
N (0.000, 0.000, 0.429)
N (0.000, 0.000, 0.571)
N (0.500, 0.500, 0.429)
N (0.500, 0.500, 0.571)

## Properties
The calculation puts the volume at 411 Å³/cell. The space group is C2/m (12).

***

Computed stability ranking, most favorable first: run four, run two, run one, run three

***

Run one
First-principles (GGA-PBE) data for a relaxed BaI2N crystal, as listed in the Alexandria database.

a = 8.363 Å, b = 8.363 Å, c = 8.363 Å
α = 90.00°, β = 90.00°, γ = 90.00°
Positions (direct):
Ba (0.000, 0.000, 0.000)
Ba (0.000, 0.500, 0.500)
Ba (0.500, 0.000, 0.500)
Ba (0.500, 0.500, 0.000)
I (0.250, 0.250, 0.250)
I (0.250, 0.250, 0.750)
I (0.250, 0.750, 0.250)
I (0.250, 0.750, 0.750)
I (0.750, 0.250, 0.250)
I (0.750, 0.250, 0.750)
I (0.750, 0.750, 0.250)
I (0.750, 0.750, 0.750)
N (0.000, 0.000, 0.500)
N (0.000, 0.500, 0.000)
N (0.500, 0.000, 0.000)
N (0.500, 0.500, 0.500)

## Properties
The calculation puts the volume at 585 Å³/cell. The space group is Fm-3m (225).

***

Run two
First-principles (GGA-PBE) data for a relaxed BaI2N crystal, as listed in the Alexandria database.

a = 6.291 Å, b = 6.291 Å, c = 15.309 Å
α = 90.00°, β = 90.00°, γ = 90.00°
Positions (direct):
Ba (0.000, 0.000, 0.000)
Ba (0.000, 0.500, 0.250)
Ba (0.500, 0.000, 0.750)
Ba (0.500, 0.500, 0.500)
I (0.129, 0.250, 0.625)
I (0.250, 0.629, 0.875)
I (0.250, 0.871, 0.375)
I (0.371, 0.250, 0.125)
I (0.629, 0.750, 0.125)
I (0.750, 0.129, 0.375)
I (0.750, 0.371, 0.875)
I (0.871, 0.750, 0.625)
N (0.000, 0.000, 0.500)
N (0.000, 0.500, 0.750)
N (0.500, 0.000, 0.250)
N (0.500, 0.500, 0.000)

## Properties
The calculation puts the volume at 606 Å³/cell. The space group is I-42d (122).

***

Computed stability ranking, most favorable first: run one, run two

***

Run one
First-principles (GGA-PBE) data for a relaxed Ba4IN2 crystal, as listed in the Alexandria database.

a = 8.147 Å, b = 8.398 Å, c = 8.513 Å
α = 99.85°, β = 101.49°, γ = 110.52°
Positions (direct):
Ba (0.000, 0.000, 0.000)
Ba (0.012, 0.350, 0.404)
Ba (0.061, 0.867, 0.402)
Ba (0.106, 0.593, 0.994)
Ba (0.545, 0.113, 0.086)
Ba (0.567, 0.922, 0.419)
Ba (0.633, 0.614, 0.074)
Ba (0.660, 0.505, 0.580)
I (0.275, 0.242, 0.756)
I (0.368, 0.751, 0.722)
N (0.291, 0.913, 0.198)
N (0.797, 0.999, 0.233)
N (0.824, 0.532, 0.330)
N (0.845, 0.671, 0.886)

## Properties
The calculation puts the volume at 516 Å³/cell. The space group is P1 (1).

***

Run two
First-principles (GGA-PBE) data for a relaxed Ba4IN2 crystal, as listed in the Alexandria database.

a = 16.271 Å, b = 16.271 Å, c = 16.271 Å
α = 14.69°, β = 14.69°, γ = 14.69°
Positions (direct):
Ba (0.119, 0.119, 0.119)
Ba (0.276, 0.276, 0.276)
Ba (0.724, 0.724, 0.724)
Ba (0.881, 0.881, 0.881)
I (0.000, 0.000, 0.000)
N (0.421, 0.421, 0.421)
N (0.579, 0.579, 0.579)

## Properties
The calculation puts the volume at 241 Å³/cell. The space group is R-3m (166).

***

Computed stability ranking, most favorable first: run two, run one

***

Run one
First-principles (GGA-PBE) data for a relaxed Ba3I2N crystal, as listed in the Alexandria database.

a = 8.766 Å, b = 8.766 Å, c = 7.765 Å
α = 90.00°, β = 90.00°, γ = 55.75°
Positions (direct):
Ba (0.115, 0.885, 0.500)
Ba (0.328, 0.448, 0.838)
Ba (0.448, 0.328, 0.338)
Ba (0.552, 0.672, 0.838)
Ba (0.672, 0.552, 0.338)
Ba (0.885, 0.115, 0.000)
I (0.020, 0.321, 0.678)
I (0.321, 0.020, 0.178)
I (0.679, 0.980, 0.678)
I (0.980, 0.679, 0.178)
N (0.424, 0.576, 0.558)
N (0.576, 0.424, 0.058)

## Properties
The calculation puts the volume at 493 Å³/cell. The space group is Cmc2_1 (36).

***

Run two
First-principles (GGA-PBE) data for a relaxed Ba3I2N crystal, as listed in the Alexandria database.

a = 7.759 Å, b = 7.759 Å, c = 8.800 Å
α = 98.63°, β = 98.63°, γ = 120.15°
Positions (direct):
Ba (0.049, 0.435, 0.810)
Ba (0.178, 0.178, 0.185)
Ba (0.435, 0.049, 0.810)
Ba (0.565, 0.951, 0.190)
Ba (0.822, 0.822, 0.815)
Ba (0.951, 0.565, 0.190)
I (0.000, 0.000, 0.500)
I (0.347, 0.653, 0.500)
I (0.500, 0.500, 0.000)
I (0.653, 0.347, 0.500)
N (0.169, 0.831, 0.000)
N (0.831, 0.169, 0.000)

## Properties
The calculation puts the volume at 437 Å³/cell. The space group is C2/m (12).

***

Computed stability ranking, most favorable first: run one, run two

***

Run one
First-principles (GGA-PBE) data for a relaxed BaOsIN2 crystal, as listed in the Alexandria database.

a = 4.234 Å, b = 4.234 Å, c = 5.559 Å
α = 90.00°, β = 90.00°, γ = 90.00°
Positions (direct):
Ba (0.000, 0.000, 0.000)
Os (0.500, 0.500, 0.500)
I (0.500, 0.500, 0.000)
N (0.000, 0.500, 0.500)
N (0.500, 0.000, 0.500)

## Properties
The calculation puts the volume at 100 Å³/cell. The space group is P4/mmm (123).

***

Run two
First-principles (GGA-PBE) data for a relaxed BaOsIN2 crystal, as listed in the Alexandria database.

a = 4.599 Å, b = 4.599 Å, c = 7.037 Å
α = 90.00°, β = 90.00°, γ = 90.00°
Positions (direct):
Ba (0.000, 0.000, 0.000)
Os (0.500, 0.500, 0.500)
I (0.000, 0.000, 0.500)
N (0.000, 0.500, 0.000)
N (0.500, 0.000, 0.000)

## Properties
The calculation puts the volume at 149 Å³/cell. The space group is P4/mmm (123).

***

Computed stability ranking, most favorable first: run one, run two

***

Run one
First-principles (GGA-PBE) data for a relaxed BaPdI2N crystal, as listed in the Alexandria database.

a = 6.748 Å, b = 6.748 Å, c = 5.354 Å
α = 90.00°, β = 90.00°, γ = 90.00°
Positions (direct):
Ba (0.000, 0.000, 0.000)
Pd (0.500, 0.500, 0.500)
I (0.000, 0.500, 0.000)
I (0.500, 0.000, 0.000)
N (0.000, 0.000, 0.500)

## Properties
The calculation puts the volume at 244 Å³/cell. The space group is P4/mmm (123).

***

Run two
First-principles (GGA-PBE) data for a relaxed BaPdI2N crystal, as listed in the Alexandria database.

a = 6.082 Å, b = 6.082 Å, c = 3.898 Å
α = 90.00°, β = 90.00°, γ = 90.00°
Positions (direct):
Ba (0.000, 0.000, 0.000)
Pd (0.500, 0.500, 0.500)
I (0.000, 0.500, 0.500)
I (0.500, 0.000, 0.500)
N (0.500, 0.500, 0.000)

## Properties
The calculation puts the volume at 144 Å³/cell. The space group is P4/mmm (123).

***

Computed stability ranking, most favorable first: run two, run one